DFT (PBE with a Hubbard U) results for a relaxed structure of Li3FeCo3O8.

Calculated values
The value obtained for the offset from the most stable computed form is 11.1 meV per atom. For the density of states at the Fermi level, the calculation gives 0.007 states/eV/atom. The energy comes out at -84.96 eV per formula unit.

```
Li3FeCo3O8
1.0
2.8748 5.0666 0.0168
-2.8748 5.0666 0.0168
0.0000 3.3663 4.8643
O Fe Co Li
8 1 3 3
direct
0.7258 0.7258 0.7817
0.7351 0.2537 0.7864
0.7463 0.2649 0.2136
0.2396 0.2396 0.7808
0.2742 0.2742 0.2183
0.7604 0.7604 0.2192
0.2537 0.7351 0.7864
0.2649 0.7463 0.2136
0.0000 0.0000 0.0000
0.5000 0.5000 0.0000
0.0000 0.5000 0.0000
0.5000 0.0000 0.0000
0.0000 0.5000 0.5000
0.5000 0.0000 0.5000
0.5000 0.5000 0.5000
```